{"formula": "PtAu3", "functional": "GGA-PBEsol", "state": "relaxed", "formation_energy_kj_per_mol_fu": 12, "volume_a3_per_cell": 66.2, "magnetic_moment_mub_per_atom": 0.000, "spacegroup": "No. 65", "lattice_angstrom": [[-1.7589, -0.2769, 2.1633], [2.7649, -0.1960, 0.4085], [0.4453, 9.5978, 1.5906]], "species": ["Pt", "Au", "Au", "Au"], "fractional_positions": [[0.5000, 0.0000, 0.5000], [0.5000, 0.0000, 0.0000], [0.0000, 0.0000, 0.2536], [0.0000, 0.0000, 0.7464]]}

=====

{"formula": "CrH20S2N2O14", "functional": "GGA-PBEsol", "state": "relaxed", "volume_a3_per_cell": 700.3, "magnetic_moment_mub_per_atom": 0.103, "spacegroup": "No. 14", "total_energy_ev_per_cell": -433.8, "lattice_angstrom": [[-3.5611, -4.5882, -1.8243], [8.3151, -1.0486, -4.2825], [4.1483, -7.1148, 9.7966]], "species": ["O", "O", "O", "O", "O", "O", "O", "O", "O", "O", "O", "O", "O", "O", "O", "O", "O", "O", "O", "O", "O", "O", "O", "O", "O", "O", "O", "O", "H", "H", "H", "H", "H", "H", "H", "H", "H", "H", "H", "H", "H", "H", "H", "H", "H", "H", "H", "H", "H", "H", "H", "H", "H", "H", "H", "H", "H", "H", "H", "H", "H", "H", "H", "H", "H", "H", "H", "H", "Cr", "Cr", "N", "N", "N", "N", "S", "S", "S", "S"], "fractional_positions": [[0.3891, 0.1299, 0.2575], [0.7024, 0.9940, 0.9283], [0.6281, 0.2597, 0.9265], [0.3719, 0.7403, 0.0735], [0.0522, 0.8099, 0.8785], [0.0161, 0.1260, 0.3306], [0.1713, 0.6596, 0.6030], [0.9478, 0.6901, 0.3785], [0.2976, 0.5060, 0.4283], [0.8287, 0.8404, 0.1030], [0.3891, 0.6299, 0.2425], [0.6281, 0.7597, 0.5735], [0.7652, 0.0271, 0.5928], [0.9478, 0.1901, 0.1215], [0.7024, 0.4940, 0.5717], [0.0522, 0.3099, 0.6215], [0.0161, 0.6260, 0.1694], [0.8287, 0.3404, 0.3970], [0.3719, 0.2403, 0.4265], [0.6109, 0.3701, 0.7575], [0.9839, 0.3740, 0.8306], [0.2976, 0.0060, 0.0717], [0.2348, 0.4729, 0.0928], [0.9839, 0.8740, 0.6694], [0.7652, 0.5271, 0.9072], [0.2348, 0.9729, 0.4072], [0.1713, 0.1596, 0.8970], [0.6109, 0.8701, 0.7425], [0.8971, 0.2600, 0.3775], [0.4273, 0.2055, 0.6900], [0.3343, 0.9092, 0.0704], [0.5160, 0.0807, 0.6184], [0.6596, 0.7964, 0.0907], [0.6657, 0.0908, 0.9296], [0.3529, 0.6778, 0.9377], [0.7695, 0.4586, 0.1503], [0.6657, 0.5908, 0.5704], [0.9485, 0.7072, 0.8876], [0.0304, 0.3364, 0.6949], [0.7695, 0.9586, 0.3497], [0.9696, 0.1636, 0.1949], [0.6803, 0.9550, 0.8548], [0.4840, 0.4193, 0.1184], [0.0515, 0.2928, 0.1124], [0.6596, 0.2964, 0.4093], [0.1029, 0.2400, 0.8775], [0.5727, 0.7945, 0.3100], [0.0304, 0.8364, 0.8051], [0.6471, 0.8222, 0.4377], [0.6803, 0.4550, 0.6452], [0.8971, 0.7600, 0.1225], [0.5727, 0.2945, 0.1900], [0.3404, 0.7036, 0.5907], [0.6471, 0.3222, 0.0623], [0.3404, 0.2036, 0.9093], [0.3529, 0.1778, 0.5623], [0.2305, 0.5414, 0.8497], [0.1029, 0.7400, 0.6225], [0.9485, 0.2072, 0.6124], [0.4273, 0.7055, 0.8100], [0.4840, 0.9193, 0.3816], [0.3197, 0.5450, 0.3548], [0.9696, 0.6636, 0.3051], [0.3197, 0.0450, 0.1452], [0.3343, 0.4092, 0.4296], [0.2305, 0.0414, 0.6503], [0.5160, 0.5807, 0.8816], [0.0515, 0.7928, 0.3876], [0.0000, 0.0000, 0.0000], [0.0000, 0.5000, 0.5000], [0.3798, 0.6257, 0.8688], [0.6202, 0.8743, 0.3688], [0.6202, 0.3743, 0.1312], [0.3798, 0.1257, 0.6312], [0.7488, 0.8843, 0.6455], [0.2512, 0.1157, 0.3545], [0.2512, 0.6157, 0.1455], [0.7488, 0.3843, 0.8545]]}

=====

{"formula": "CaCe2S4", "functional": "GGA-PBEsol", "state": "relaxed", "volume_a3_per_cell": 295.8, "raw_formation_energy_ev_per_atom": -2.050, "magnetic_moment_mub_per_atom": 0.289, "spacegroup": "No. 122", "lattice_angstrom": [[-5.1180, -2.4173, 4.5631], [6.0346, -3.9507, 0.9135], [1.4140, 6.9965, 1.3813]], "species": ["Ce", "Ce", "Ce", "Ce", "S", "S", "S", "S", "S", "S", "S", "S", "Ca", "Ca"], "fractional_positions": [[0.6250, 0.0017, 0.8767], [0.9983, 0.8750, 0.6233], [0.2517, 0.3750, 0.3767], [0.1250, 0.7483, 0.1233], [0.3746, 0.1225, 0.1001], [0.5244, 0.7724, 0.3999], [0.0224, 0.2745, 0.8999], [0.7256, 0.6254, 0.7479], [0.8754, 0.4756, 0.2479], [0.3725, 0.1246, 0.6001], [0.8775, 0.9776, 0.2521], [0.2276, 0.6275, 0.7521], [0.7500, 0.2500, 0.5000], [0.5000, 0.5000, 0.0000]]}

=====

{"formula": "La2Au", "functional": "GGA-PBEsol", "state": "relaxed", "formation_energy_kj_per_mol_fu": -147, "volume_a3_per_cell": 180.6, "magnetic_moment_mub_per_atom": 0.000, "spacegroup": "No. 36", "lattice_angstrom": [[4.0054, 0.0000, 0.0000], [-2.0027, 6.3614, 0.0000], [0.0000, 0.0000, 7.0867]], "species": ["La", "La", "La", "La", "Au", "Au"], "fractional_positions": [[0.7964, 0.5927, 0.9847], [0.2036, 0.4073, 0.4847], [0.5220, 0.0440, 0.7835], [0.4780, 0.9560, 0.2835], [0.8834, 0.7669, 0.5587], [0.1166, 0.2331, 0.0587]]}

=====

{"formula": "BHF3", "functional": "GGA-PBEsol", "state": "relaxed", "volume_a3_per_cell": 34.6, "magnetic_moment_mub_per_atom": 0.200, "spacegroup": "No. 221", "total_energy_ev_per_cell": -21.2, "lattice_angstrom": [[3.2585, 0.0000, 0.0000], [0.0000, 3.2585, 0.0000], [0.0000, 0.0000, 3.2585]], "species": ["F", "F", "F", "H", "B"], "fractional_positions": [[0.0000, 0.0000, 0.5000], [0.5000, 0.0000, 0.0000], [0.0000, 0.5000, 0.0000], [0.5000, 0.5000, 0.5000], [0.0000, 0.0000, 0.0000]]}

=====

{"formula": "CdIn2Ag", "functional": "GGA-PBEsol", "state": "relaxed", "formation_energy_kj_per_mol_fu": 7, "volume_a3_per_cell": 85.3, "magnetic_moment_mub_per_atom": 0.000, "spacegroup": "No. 123", "lattice_angstrom": [[-2.0237, 1.2741, -2.0023], [0.2791, -2.4853, -1.8636], [-6.6239, -3.9021, 4.2117]], "species": ["Cd", "In", "In", "Ag"], "fractional_positions": [[0.5000, 0.5000, 0.5000], [0.0000, 0.0000, 0.7702], [0.0000, 0.0000, 0.2298], [0.5000, 0.5000, 0.0000]]}

=====

{"formula": "RbErO2", "functional": "GGA-PBEsol", "state": "relaxed", "volume_a3_per_cell": 65.3, "raw_formation_energy_ev_per_atom": -2.786, "magnetic_moment_mub_per_atom": 0.000, "spacegroup": "No. 166", "lattice_angstrom": [[-0.9838, -3.2760, 0.0882], [0.6294, -2.0478, -2.6681], [5.5463, -3.4060, 1.7284]], "species": ["Er", "O", "O", "Rb"], "fractional_positions": [[0.5000, 0.5000, 0.5000], [0.7750, 0.7750, 0.6750], [0.2250, 0.2250, 0.3250], [0.0000, 0.0000, 0.0000]]}

=====

{"formula": "KPd2F5", "functional": "GGA-PBEsol", "state": "relaxed", "volume_a3_per_cell": 482.5, "raw_formation_energy_ev_per_atom": -1.580, "magnetic_moment_mub_per_atom": 0.251, "spacegroup": "No. 62", "lattice_angstrom": [[-1.5712, 5.7235, -1.4457], [-6.0572, -2.5341, -3.4493], [-5.5019, 0.7844, 9.0853]], "species": ["F", "F", "F", "F", "F", "F", "F", "F", "F", "F", "F", "F", "F", "F", "F", "F", "F", "F", "F", "F", "Pd", "Pd", "Pd", "Pd", "Pd", "Pd", "Pd", "Pd", "K", "K", "K", "K"], "fractional_positions": [[0.0409, 0.2500, 0.0989], [0.8099, 0.9332, 0.4132], [0.3099, 0.9332, 0.0868], [0.7177, 0.0566, 0.6536], [0.8099, 0.5668, 0.4132], [0.1901, 0.4332, 0.5868], [0.9591, 0.7500, 0.9011], [0.6901, 0.0668, 0.9132], [0.2823, 0.5566, 0.3464], [0.2823, 0.9434, 0.3464], [0.7823, 0.9434, 0.1536], [0.3099, 0.5668, 0.0868], [0.7823, 0.5566, 0.1536], [0.2177, 0.4434, 0.8464], [0.2177, 0.0566, 0.8464], [0.1901, 0.0668, 0.5868], [0.5409, 0.2500, 0.4011], [0.4591, 0.7500, 0.5989], [0.6901, 0.4332, 0.9132], [0.7177, 0.4434, 0.6536], [0.5000, 0.5000, 0.5000], [0.0000, 0.0000, 0.0000], [0.2985, 0.7500, 0.2203], [0.5000, 0.0000, 0.5000], [0.2015, 0.2500, 0.7203], [0.7985, 0.7500, 0.2797], [0.0000, 0.5000, 0.0000], [0.7015, 0.2500, 0.7797], [0.4841, 0.7500, 0.8743], [0.0159, 0.2500, 0.3743], [0.5159, 0.2500, 0.1257], [0.9841, 0.7500, 0.6257]]}